Here is AlSb3Te after structural relaxation from the Alexandria database. Energies are from PBE.

Computed properties:
Fermi-level density of states ... 5.28 states/eV/f.u.
Mass density ... 5.8 Mg/m³
Formation energy from raw total energies ... 0.50 eV/atom
SG ... Pm-3m
Crystal system ... cubic

Lattice parameters (Å, degrees): 5.2851 5.2851 5.2851 90.00 90.00 90.00
Closest atoms and distances in Å follow each position.
Sites, in units of the cell vectors:
Al 0.0000 0.0000 0.0000  6 Sb 2.64
Sb 0.0000 0.0000 0.5000  2 Al 2.64
Sb 0.0000 0.5000 0.0000  2 Al 2.64
Sb 0.5000 0.0000 0.0000  2 Al 2.64
Te 0.5000 0.5000 0.5000  12 Sb 3.74